Entry 1:
TbDyIn2Pt4: optimized geometry, GGA-PBE.

Summary:
The calculated volume comes out at 164.5 Å³/f.u. For the total moment, the calculation gives 0.0 μB per formula unit. As for the raw total energy: -46.668 eV per cell. As for the mass density: 13.4 g cm⁻³.

Geometry as extended XYZ:
```
8
Lattice="4.580 0.000 0.000 -2.290 3.966 0.000 0.000 0.000 9.054" Properties=species:S:1:pos:R:3 pbc="T T T"
Tb 0.000 0.000 0.000
Dy 2.290 1.322 4.527
In 0.000 2.644 2.267
In 0.000 2.644 6.787
Pt 0.000 0.000 3.103
Pt 0.000 0.000 5.951
Pt 2.290 1.322 1.434
Pt 2.290 1.322 7.620
```


Entry 2:
DyTm2In3Pt2: optimized geometry, GGA-PBE.

Summary:
The calculated volume comes out at 183.9 Å³/f.u. For the total moment, the calculation gives 0.0 μB per formula unit. As for the raw total energy: -40.994 eV per cell. As for the mass density: 11.2 g cm⁻³.

Geometry as extended XYZ:
```
8
Lattice="3.601 0.000 0.000 0.000 6.657 3.834 0.000 -6.657 3.834" Properties=species:S:1:pos:R:3 pbc="T T T"
Dy 0.000 0.000 0.000
Tm 0.000 -2.806 2.825
Tm 0.000 2.806 2.825
In 1.801 0.000 2.680
In 1.801 -1.544 5.322
In 1.801 1.544 5.322
Pt 1.801 -4.412 4.448
Pt 1.801 4.412 4.448
```


Entry 3:
DyTmIn4Pt2: optimized geometry, GGA-PBE.

Summary:
The calculated volume comes out at 174.6 Å³/f.u. For the total moment, the calculation gives 0.0 μB per formula unit. As for the raw total energy: -37.916 eV per cell. As for the mass density: 11.2 g cm⁻³.

Geometry as extended XYZ:
```
8
Lattice="7.404 0.000 0.000 0.000 2.246 5.248 0.000 -2.246 5.248" Properties=species:S:1:pos:R:3 pbc="T T T"
Dy 0.000 0.000 0.000
Tm 3.702 0.000 8.899
In 1.506 0.000 3.024
In 2.206 0.000 5.879
In 5.198 0.000 5.879
In 5.899 0.000 3.024
Pt 0.000 0.000 7.523
Pt 3.702 0.000 1.366
```


Entry 4:
DyYIn2Pt4: optimized geometry, GGA-PBE.

Summary:
The calculated volume comes out at 164.3 Å³/f.u. For the total moment, the calculation gives 0.0 μB per formula unit. As for the raw total energy: -48.490 eV per cell. As for the mass density: 12.7 g cm⁻³.

Geometry as extended XYZ:
```
8
Lattice="4.580 0.000 0.000 -2.290 3.966 0.000 0.000 0.000 9.046" Properties=species:S:1:pos:R:3 pbc="T T T"
Dy 0.000 0.000 0.000
Y 0.000 2.644 4.523
In 2.290 1.322 2.260
In 2.290 1.322 6.786
Pt 0.000 0.000 3.089
Pt 0.000 0.000 5.957
Pt 0.000 2.644 1.417
Pt 0.000 2.644 7.629
```


Question: What is the total moment in the first record?
Answer: 0.0 μB per formula unit